# 1
# Ba6Ti5PtO18 (PBE, optimized geometry)
data_Ba6Ti5PtO18
_chemical_formula_sum 'Ba6 Ti5 Pt1 O18'
_cell_length_a 5.7969
_cell_length_b 5.7969
_cell_length_c 14.2735
_cell_angle_alpha 90.00
_cell_angle_beta 90.00
_cell_angle_gamma 120.00
_space_group_name_H-M_alt 'P 3 m 1'
_space_group_IT_number 156
loop_
_space_group_symop_operation_xyz
'x,y,z'
'-y,x-y,z'
'-x+y,-x,z'
'-y,-x,z'
'-x+y,y,z'
'x,x-y,z'
loop_
_atom_site_label
_atom_site_fract_x
_atom_site_fract_y
_atom_site_fract_z
_atom_site_occupancy
Ba1 0.0000 0.0000 0.0000 1
Ba2 0.0000 0.0000 0.3082 1
Ba3 0.3333 0.6667 0.1531 1
Ba4 0.3333 0.6667 0.6513 1
Ba5 0.6667 0.3333 0.4939 1
Ba6 0.6667 0.3333 0.8066 1
Ti1 0.0000 0.0000 0.5522 1
Ti2 0.3333 0.6667 0.3973 1
Ti3 0.3333 0.6667 0.9002 1
Ti4 0.6667 0.3333 0.0529 1
Ti5 0.6667 0.3333 0.2427 1
Pt1 0.0000 0.0000 0.7492 1
O1 0.0062 0.5031 0.3284 1
O2 0.1659 0.3318 0.4886 1
O3 0.1709 0.3418 0.8321 1
O4 0.3025 0.1512 0.6571 1
O5 0.3674 0.1837 0.1601 1
O6 0.5004 0.0008 0.9914 1
# **ΔE_f (raw)**: -2815 meV/atom

=====

# 2
# BaTlPtO4 (PBE, optimized geometry)
data_BaTlPtO4
_chemical_formula_sum 'Ba4 Tl4 Pt4 O16'
_cell_length_a 6.313
_cell_length_b 6.529
_cell_length_c 14.744
_cell_angle_alpha 90.00
_cell_angle_beta 90.00
_cell_angle_gamma 90.00
_space_group_name_H-M_alt 'I m m a'
_space_group_IT_number 74
_space_group_name_Hall '-I 2b 2'
loop_
_atom_site_label
_atom_site_fract_x
_atom_site_fract_y
_atom_site_fract_z
_atom_site_occupancy
Ba1 0.000 0.250 0.134 1
Tl1 0.000 0.000 0.500 1
Pt1 0.250 0.250 0.750 1
O1 0.000 0.062 0.746 1
O2 0.228 0.250 0.487 1
# **ΔE_f (raw)**: -1064 meV/atom

=====

# 3
# Ba2TlPtO4 (PBE, optimized geometry)
data_Ba2TlPtO4
_chemical_formula_sum 'Ba4 Tl2 Pt2 O8'
_cell_length_a 6.474
_cell_length_b 6.474
_cell_length_c 7.125
_cell_angle_alpha 90.00
_cell_angle_beta 90.00
_cell_angle_gamma 90.00
_space_group_name_H-M_alt 'I -4 m 2'
_space_group_IT_number 119
_space_group_name_Hall 'I -4 -2'
loop_
_atom_site_label
_atom_site_fract_x
_atom_site_fract_y
_atom_site_fract_z
_atom_site_occupancy
Ba1 0.000 0.000 0.000 1
Ba2 0.000 0.500 0.250 1
Tl1 0.000 0.500 0.750 1
Pt1 0.000 0.000 0.500 1
O1 0.220 0.220 0.500 1
# **ΔE_f (raw)**: -1519 meV/atom

=====

# 4
# Ba2TmPt2O6 (PBE, optimized geometry)
data_Ba2TmPt2O6
_chemical_formula_sum 'Ba6 Tm3 Pt6 O18'
_cell_length_a 6.1898
_cell_length_b 6.1898
_cell_length_c 17.6437
_cell_angle_alpha 90.00
_cell_angle_beta 90.00
_cell_angle_gamma 120.00
_space_group_name_H-M_alt 'R -3 m'
_space_group_IT_number 166
_space_group_name_Hall '-R 3 2"'
loop_
_atom_site_label
_atom_site_fract_x
_atom_site_fract_y
_atom_site_fract_z
_atom_site_occupancy
Ba1 0.0000 0.0000 0.2162 1
Tm1 0.0000 0.0000 0.0000 1
Pt1 0.0000 0.0000 0.4125 1
O1 0.0331 0.5165 0.7535 1
# **ΔE_f (raw)**: -1700 meV/atom

=====

| no. | M_tot (μB per formula unit) |
| --- | --- |
| 1 | 0.000 |
| 2 | 0.001 |
| 3 | 0.000 |
| 4 | 0.000 |